## i
DFT (GGA-PBE) results for a relaxed structure of Ho2TmPt3.

abc: 4.0459 5.7178 6.9902
angles: 114.14 106.82 90.00
Closest atoms and distances in Å follow each position.
Atoms (fractional coordinates):
1 Ho 0.6672 0.1672 0.3344  6 Pt 2.86-2.87
2 Ho 0.3328 0.8328 0.6656  6 Pt 2.86-2.87
3 Tm 0.0000 0.5000 0.0000  6 Pt 2.84-2.86
4 Pt 0.3351 0.3351 0.6702  2 Tm 2.84, 4 Ho 2.86-2.87
5 Pt 0.0000 0.0000 0.0000  2 Tm 2.86, 4 Ho 2.86
6 Pt 0.6649 0.6649 0.3298  2 Tm 2.84, 4 Ho 2.86-2.87

Computed properties:
As for the space group: Immm, No. 71. Its crystal system is orthorhombic.

## ii
DFT (GGA-PBE) results for a relaxed structure of Ho2TmPt3.

abc: 3.4392 4.9234 14.7780
angles: 90.00 90.00 90.00
Closest atoms and distances in Å follow each position.
Atoms (fractional coordinates):
1 Ho 0.0000 0.0000 0.6665  8 Pt 3.00-3.04
2 Ho 0.0000 0.0000 0.3335  8 Pt 3.00-3.04
3 Ho 0.0000 0.5000 0.1665  8 Pt 3.00-3.04
4 Ho 0.0000 0.5000 0.8335  8 Pt 3.00-3.04
5 Tm 0.0002 0.5000 0.5000  8 Pt 2.97-3.00
6 Tm 0.9998 0.0000 0.0000  8 Pt 2.97-3.00
7 Pt 0.4999 0.5000 0.6643  2 Tm 2.97-2.98, 6 Ho 3.00-3.04
8 Pt 0.5002 0.0000 0.5000  4 Ho 3.00, 4 Tm 3.00
9 Pt 0.4999 0.5000 0.3357  2 Tm 2.97-2.98, 6 Ho 3.00-3.04
10 Pt 0.5001 0.0000 0.1643  2 Tm 2.97-2.98, 6 Ho 3.00-3.04
11 Pt 0.4998 0.5000 0.0000  4 Ho 3.00, 4 Tm 3.00
12 Pt 0.5001 0.0000 0.8357  2 Tm 2.97-2.98, 6 Ho 3.00-3.04

Computed properties:
As for the space group: Cmmm, No. 65. Its crystal system is orthorhombic.

Q: Which of them is the least stable? A: i.